## RbV2Cu (PBE)

Data for an optimized crystal structure of RbV2Cu.

Its crystal system is cubic. The calculation puts the distance to the lowest polymorph of the same formula at 0.80 eV per formula unit. The formation energy comes out at 1.64 eV/atom. Its density of states at the Fermi level is 2.5263 states/eV per atom. As for the total energy: -4.18 eV/atom.

It has space group Fm-3m (No. 225), with a = 7.0059 Å, b = 7.0059 Å, c = 7.0059 Å, α = 90.00°, β = 90.00° and γ = 90.00°. The inequivalent atoms are Rb at (0.0000, 0.0000, 0.0000), V at (0.2500, 0.2500, 0.2500) and Cu at (0.0000, 0.0000, 0.5000).